# TeOs2Ru, relaxed, DFT GGA-PBEsol
data_TeOs2Ru
_chemical_formula_sum 'Te1 Os2 Ru1'
_cell_length_a 3.921
_cell_length_b 3.921
_cell_length_c 3.957
_cell_angle_alpha 90.00
_cell_angle_beta 90.00
_cell_angle_gamma 90.00
_space_group_name_H-M_alt 'P 1'
_space_group_IT_number 1
loop_
_space_group_symop_operation_xyz
'x,y,z'
loop_
_atom_site_label
_atom_site_type_symbol
_atom_site_fract_x
_atom_site_fract_y
_atom_site_fract_z
Te1 Te 0.000 0.000 0.000
Os1 Os 0.000 0.500 0.500
Os2 Os 0.500 0.000 0.500
Ru1 Ru 0.500 0.500 0.000
# - mass density (g/cm³) = 16.63
# - formation energy (no corrections) (eV/atom) = 0.74
# - space-group type = P4/mmm, No. 123
# - total moment (Bohr magnetons per cell) = 0.0